VASP calculation (PBE) on a relaxed structure of Sc2FeTe.

## Properties
- theoretical density (g cm⁻³) = 5.19
- magnetic moment (μB per cell) = 0.5
- final energy (eV per atom) = -6.3348
- N(E_F) (states/eV per atom) = 0.640
- formation energy without anion corrections (eV per formula unit) = -1.07

Cell lengths 3.8363, 3.8363, 5.9460 Å; angles 90.00, 90.00, 90.00 degrees
With the nearest neighbours (Å) after each atom.
Positions (direct):
Sc: 0.0000 0.0000 0.0000  4 Fe 2.75, 2 Te 2.92-3.03
Sc: 0.5000 0.5000 0.3176  1 Fe 2.36
Fe: 0.5000 0.5000 0.9209  1 Sc 2.36
Te: 0.0000 0.0000 0.5089  6 Sc 2.92-3.03

VASP calculation (PBE) on a relaxed structure of Ba2I2O.

## Properties
- theoretical density (g cm⁻³) = 4.97
- energy above the most stable polymorph in this dataset (meV/atom) = 177
- magnetic moment (μB per cell) = 0.1
- final energy (eV per atom) = -4.3763
- N(E_F) (states/eV per atom) = 0.000
- formation energy without anion corrections (eV per formula unit) = -9.98

Cell lengths 7.0118, 7.0118, 13.4574 Å; angles 90.00, 90.00, 146.62 degrees
With the nearest neighbours (Å) after each atom.
Positions (direct):
Ba: 0.0524 0.9476 0.5000  2 O 2.62
Ba: 0.2010 0.7990 0.7087  2 O 2.68
Ba: 0.7990 0.2010 0.2087  2 O 2.68
Ba: 0.9476 0.0524 0.0000  2 O 2.62
I: 0.0806 0.9194 0.2388  5 Ba 3.54-3.80, 2 O 3.93
I: 0.3354 0.6646 0.4340  5 Ba 3.65-3.90, 2 I 4.03
I: 0.6646 0.3354 0.9340  5 Ba 3.65-3.90, 2 I 4.03
I: 0.9194 0.0806 0.7388  5 Ba 3.54-3.80, 2 O 3.93
O: 0.3718 0.6282 0.0993  4 Ba 2.62-2.68
O: 0.6282 0.3718 0.5993  4 Ba 2.62-2.68

VASP calculation (PBE) on a relaxed structure of KHgBiAu2.

## Properties
- theoretical density (g cm⁻³) = 7.60
- energy above the most stable polymorph in this dataset (meV/atom) = 163
- magnetic moment (μB per cell) = 0.0
- final energy (eV per atom) = -2.3858
- N(E_F) (states/eV per atom) = 0.213

Cell lengths 5.5434, 5.5434, 5.9907 Å; angles 90.00, 90.00, 90.00 degrees
With the nearest neighbours (Å) after each atom.
Positions (direct):
K: 0.0000 0.0000 0.0000  4 Hg 3.92, 8 Au 4.08
Hg: 0.5000 0.5000 0.0000  2 Bi 3.00
Bi: 0.5000 0.5000 0.5000  4 Au 2.77, 2 Hg 3.00
Au: 0.0000 0.5000 0.5000  2 Bi 2.77
Au: 0.5000 0.0000 0.5000  2 Bi 2.77

VASP calculation (PBE) on a relaxed structure of Nd4Sm19Th6.

## Properties
- theoretical density (g cm⁻³) = 7.92
- magnetic moment (μB per cell) = 0.0
- final energy (eV per atom) = -4.8734
- N(E_F) (states/eV per atom) = 1.426

Cell lengths 10.9554, 10.9554, 10.9554 Å; angles 109.47, 109.47, 109.47 degrees
With the nearest neighbours (Å) after each atom.
Positions (direct):
Nd: 0.0000 0.0000 0.6397  9 Sm 3.37-3.48
Nd: 0.0000 0.6397 0.0000  9 Sm 3.37-3.48
Nd: 0.3603 0.3603 0.3603  9 Sm 3.37-3.48
Nd: 0.6397 0.0000 0.0000  9 Sm 3.37-3.48
Sm: 0.0000 0.0000 0.0000  6 Sm 3.37
Sm: 0.0000 0.2667 0.2667  2 Th 3.37, 5 Sm 3.37-3.64, 2 Nd 3.40
Sm: 0.0000 0.7333 0.7333  2 Th 3.37, 5 Sm 3.37-3.64, 2 Nd 3.40
Sm: 0.0204 0.8035 0.3438  1 Th 3.21, 2 Nd 3.37-3.48, 1 Sm 3.39
Sm: 0.1965 0.2170 0.5404  1 Th 3.21, 2 Nd 3.37-3.48, 1 Sm 3.39
Sm: 0.2170 0.5404 0.1965  1 Th 3.21, 2 Nd 3.37-3.48, 1 Sm 3.39
Sm: 0.2667 0.0000 0.2667  2 Th 3.37, 5 Sm 3.37-3.64, 2 Nd 3.40
Sm: 0.2667 0.2667 0.0000  2 Th 3.37, 5 Sm 3.37-3.64, 2 Nd 3.40
Sm: 0.3234 0.7830 0.9796  1 Th 3.21, 2 Nd 3.37-3.48, 1 Sm 3.39
Sm: 0.3438 0.0204 0.8035  1 Th 3.21, 2 Nd 3.37-3.48, 1 Sm 3.39
Sm: 0.4596 0.6766 0.6562  1 Th 3.21, 2 Nd 3.37-3.48, 1 Sm 3.39
Sm: 0.5404 0.1965 0.2170  1 Th 3.21, 2 Nd 3.37-3.48, 1 Sm 3.39
Sm: 0.6562 0.4596 0.6766  1 Th 3.21, 2 Nd 3.37-3.48, 1 Sm 3.39
Sm: 0.6766 0.6562 0.4596  1 Th 3.21, 2 Nd 3.37-3.48, 1 Sm 3.39
Sm: 0.7333 0.0000 0.7333  2 Th 3.37, 5 Sm 3.37-3.64, 2 Nd 3.40
Sm: 0.7333 0.7333 0.0000  2 Th 3.37, 5 Sm 3.37-3.64, 2 Nd 3.40
Sm: 0.7830 0.9796 0.3234  1 Th 3.21, 2 Nd 3.37-3.48, 1 Sm 3.39
Sm: 0.8035 0.3438 0.0204  1 Th 3.21, 2 Nd 3.37-3.48, 1 Sm 3.39
Sm: 0.9796 0.3234 0.7830  1 Th 3.21, 2 Nd 3.37-3.48, 1 Sm 3.39
Th: 0.1291 0.6291 0.5000  4 Sm 3.21-3.37, 1 Th 3.27
Th: 0.3709 0.5000 0.8709  4 Sm 3.21-3.37, 1 Th 3.27
Th: 0.5000 0.1291 0.6291  4 Sm 3.21-3.37, 1 Th 3.27
Th: 0.5000 0.8709 0.3709  4 Sm 3.21-3.37, 1 Th 3.27
Th: 0.6291 0.5000 0.1291  4 Sm 3.21-3.37, 1 Th 3.27
Th: 0.8709 0.3709 0.5000  4 Sm 3.21-3.37, 1 Th 3.27

Copy entry 2 word for word.
VASP calculation (PBE) on a relaxed structure of Ba2I2O.

## Properties
- theoretical density (g cm⁻³) = 4.97
- energy above the most stable polymorph in this dataset (meV/atom) = 177
- magnetic moment (μB per cell) = 0.1
- final energy (eV per atom) = -4.3763
- N(E_F) (states/eV per atom) = 0.000
- formation energy without anion corrections (eV per formula unit) = -9.98

Cell lengths 7.0118, 7.0118, 13.4574 Å; angles 90.00, 90.00, 146.62 degrees
With the nearest neighbours (Å) after each atom.
Positions (direct):
Ba: 0.0524 0.9476 0.5000  2 O 2.62
Ba: 0.2010 0.7990 0.7087  2 O 2.68
Ba: 0.7990 0.2010 0.2087  2 O 2.68
Ba: 0.9476 0.0524 0.0000  2 O 2.62
I: 0.0806 0.9194 0.2388  5 Ba 3.54-3.80, 2 O 3.93
I: 0.3354 0.6646 0.4340  5 Ba 3.65-3.90, 2 I 4.03
I: 0.6646 0.3354 0.9340  5 Ba 3.65-3.90, 2 I 4.03
I: 0.9194 0.0806 0.7388  5 Ba 3.54-3.80, 2 O 3.93
O: 0.3718 0.6282 0.0993  4 Ba 2.62-2.68
O: 0.6282 0.3718 0.5993  4 Ba 2.62-2.68

What is the N(E_F) in the second record? 0.000 states/eV per atom

theoretical density of number 1 (Sc2FeTe)? 5.19 g cm⁻³

Among the records above, which one has the lowest theoretical density? Ba2I2O